# 1
Here is an optimized crystal structure of Ce2TlI8 from the Alexandria database. Energies are from PBE.

ΔE_f (raw), kJ/mol of atoms: -98.7
ΔE to the lowest computed polymorph, meV per atom: 51
Total magnetic moment, Bohr magnetons per cell: 1.030

The structure in CIF format:
```
data_Ce2TlI8
_cell_length_a 6.2511
_cell_length_b 10.5524
_cell_length_c 10.6312
_cell_angle_alpha 60.27
_cell_angle_beta 89.97
_cell_angle_gamma 90.00
_symmetry_space_group_name_H-M 'P -1'
_symmetry_Int_Tables_number 2
_symmetry_space_group_name_Hall '-P 1'
loop_
_atom_site_label
_atom_site_type_symbol
_atom_site_fract_x
_atom_site_fract_y
_atom_site_fract_z
_atom_site_occupancy
Ce1 Ce 0.2496 0.1680 0.1637 1
Tl1 Tl 0.0000 0.5000 0.5000 1
I1 I 0.2476 0.8308 0.8389 1
I2 I 0.2600 0.3254 0.3285 1
I3 I 0.2596 0.3275 0.8429 1
I4 I 0.2600 0.8459 0.3312 1
```


# 2
Here is an optimized crystal structure of Zn5Ga3Tc from the Alexandria database. Energies are from PBE.

ΔE_f, eV/f.u.: 1.291
Total magnetic moment, Bohr magnetons per cell: 0.000

The structure in CIF format:
```
data_Zn5Ga3Tc
_cell_length_a 7.8098
_cell_length_b 7.8098
_cell_length_c 10.0282
_cell_angle_alpha 90.00
_cell_angle_beta 90.00
_cell_angle_gamma 90.00
_symmetry_space_group_name_H-M 'I 4/m c m'
_symmetry_Int_Tables_number 140
_symmetry_space_group_name_Hall '-I 4 2c'
loop_
_atom_site_label
_atom_site_type_symbol
_atom_site_fract_x
_atom_site_fract_y
_atom_site_fract_z
_atom_site_occupancy
Zn1 Zn 0.0000 0.0000 0.0000 1
Zn2 Zn 0.2058 0.2942 0.1359 1
Ga1 Ga 0.0000 0.0000 0.2500 1
Ga2 Ga 0.1086 0.3914 0.5000 1
Tc1 Tc 0.0000 0.5000 0.2500 1
```